Material: AlFePb2
Method: DFT, PBE
State: relaxed

Properties
ΔH_f (0 K) = 312 meV/atom

Cell: 4.0316 4.2540 5.5078 Å, 90.00 111.33 90.00°
Space group Pm (No. 6)
Inequivalent atoms, fractional coordinates:
Al 0.0000 0.0000 0.0000 x1
Fe 0.1224 0.5000 0.2501 x1
Pb 0.4124 0.5000 0.8231 x1
Pb 0.7094 0.0000 0.4236 x1


Material: GdEr3Cu
Method: DFT, PBE
State: relaxed

Properties
ΔH_f (0 K) = 91 meV/atom

Cell: 5.3270 5.3270 5.3270 Å, 90.00 90.00 90.00°
Space group Pm-3m (No. 221)
Inequivalent atoms, fractional coordinates:
Gd 0.0000 0.0000 0.0000 x1
Er 0.0000 0.5000 0.5000 x3
Cu 0.5000 0.5000 0.5000 x1


Material: Dy3Ga7Cu4
Method: DFT, PBE
State: relaxed

Properties
ΔH_f (0 K) = -476 meV/atom

Cell: 15.5698 4.2007 9.4038 Å, 90.00 127.05 90.00°
Space group C2/m (No. 12)
Inequivalent atoms, fractional coordinates:
Dy 0.0000 0.0000 0.0000 x2
Dy 0.1897 0.5000 0.6928 x4
Ga 0.0000 0.0000 0.5000 x2
Ga 0.9995 0.5000 0.2854 x4
Ga 0.1537 0.0000 0.4213 x4
Ga 0.1695 0.5000 0.0367 x4
Cu 0.1362 0.0000 0.8618 x4
Cu 0.1574 0.5000 0.2855 x4


Material: HfSc3Pa2N6
Method: DFT, PBE
State: relaxed

Properties
ΔE_f (raw) = -1.743 eV per atom

Cell: 14.4632 3.2994 6.6609 Å, 90.00 103.05 90.00°
Space group C2/m (No. 12)
Inequivalent atoms, fractional coordinates:
Hf 0.0000 0.0000 0.0000 x2
Sc 0.0000 0.0000 0.5000 x2
Sc 0.1621 0.5000 0.8335 x4
Pa 0.1661 0.5000 0.3323 x4
N 0.0005 0.5000 0.7591 x4
N 0.1607 0.0000 0.5957 x4
N 0.1622 0.0000 0.0732 x4


Material: Y2MoBr
Method: DFT, PBE
State: relaxed

Properties
ΔE_f (raw) = 0.261 eV per atom

Cell: 3.7237 5.9210 9.1673 Å, 90.00 90.00 90.00°
Space group Immm (No. 71)
Inequivalent atoms, fractional coordinates:
Y 0.0000 0.0000 0.2475 x4
Mo 0.0000 0.5000 0.5000 x2
Br 0.0000 0.5000 0.0000 x2


Material: MgPtBr
Method: DFT, PBE
State: relaxed

Properties
ΔE_f (raw) = -0.197 eV per atom

Cell: 6.4093 6.4093 6.4093 Å, 90.00 90.00 90.00°
Space group F-43m (No. 216)
Inequivalent atoms, fractional coordinates:
Mg 0.0000 0.0000 0.0000 x4
Pt 0.2500 0.2500 0.2500 x4
Br 0.0000 0.0000 0.5000 x4


Material: In2SbCl
Method: DFT, PBE
State: relaxed

Properties
ΔE_f (raw) = -0.141 eV per atom

Cell: 6.2937 6.2937 15.6132 Å, 90.00 90.00 90.00°
Space group I-42d (No. 122)
Inequivalent atoms, fractional coordinates:
In 0.2425 0.2500 0.1250 x8
Sb 0.0000 0.0000 0.5000 x4
Cl 0.0000 0.0000 0.0000 x4


Material: MgZrTeO6
Method: DFT, PBE
State: relaxed

Properties
ΔE_f (raw) = -2.081 eV per atom

Cell: 5.3437 5.3437 9.0832 Å, 90.00 90.00 120.00°
Space group P-31c (No. 163)
Inequivalent atoms, fractional coordinates:
Mg 0.0000 0.0000 0.0000 x2
Zr 0.3333 0.6667 0.2500 x2
Te 0.3333 0.6667 0.7500 x2
O 0.0246 0.3623 0.6321 x12